[1]
Below is a relaxed structure of GaSb, with properties calculated at the PBEsol level.

It has space group P6_3mc (No. 186), with a = 4.3050 Å, b = 4.3050 Å, c = 7.0981 Å, α = 90.00°, β = 90.00° and γ = 120.00°. Symmetry generates all atoms from Ga at (0.3333, 0.6667, 0.0000) and Sb at (0.3333, 0.6667, 0.6260).

The raw total energy is -4.07 eV per atom. The uncorrected formation energy is -0.23 eV/f.u. The value obtained for the energy above the most stable polymorph in this dataset is 1.1 kJ per mole of atoms.

---

[2]
Below is a relaxed structure of GaSb, with properties calculated at the PBEsol level.

It has space group F-43m (No. 216), with a = 6.1096 Å, b = 6.1096 Å, c = 6.1096 Å, α = 90.00°, β = 90.00° and γ = 90.00°. Symmetry generates all atoms from Ga at (0.0000, 0.0000, 0.0000) and Sb at (0.2500, 0.2500, 0.2500).

The raw total energy is -4.08 eV per atom. The uncorrected formation energy is -0.26 eV/f.u. The value obtained for the energy above the most stable polymorph in this dataset is 0.0 kJ per mole of atoms.

---

[3]
Below is a relaxed structure of ScGa3Sb, with properties calculated at the PBEsol level.

It has space group Pm-3m (No. 221), with a = 5.1112 Å, b = 5.1112 Å, c = 5.1112 Å, α = 90.00°, β = 90.00° and γ = 90.00°. Symmetry generates all atoms from Sc at (0.0000, 0.0000, 0.0000), Ga at (0.0000, 0.0000, 0.5000) and Sb at (0.5000, 0.5000, 0.5000).

The raw total energy is -3.65 eV per atom. The uncorrected formation energy is 2.93 eV/f.u.

---

[4]
Below is a relaxed structure of ScGa2TcSb, with properties calculated at the PBEsol level.

It has space group P4/mmm (No. 123), with a = 4.6590 Å, b = 4.6590 Å, c = 5.1763 Å, α = 90.00°, β = 90.00° and γ = 90.00°. Symmetry generates all atoms from Sc at (0.0000, 0.0000, 0.0000), Ga at (0.0000, 0.5000, 0.5000), Tc at (0.5000, 0.5000, 0.5000) and Sb at (0.5000, 0.5000, 0.0000).

The raw total energy is -5.63 eV per atom. The uncorrected formation energy is 0.93 eV/f.u.

---

[5]
Below is a relaxed structure of ScGaSb2Te, with properties calculated at the PBEsol level.

It has space group P4/mmm (No. 123), with a = 5.1649 Å, b = 5.1649 Å, c = 5.2919 Å, α = 90.00°, β = 90.00° and γ = 90.00°. Symmetry generates all atoms from Sc at (0.0000, 0.0000, 0.0000), Ga at (0.5000, 0.5000, 0.5000), Sb at (0.0000, 0.5000, 0.5000) and Te at (0.5000, 0.5000, 0.0000).

The raw total energy is -4.20 eV per atom. The uncorrected formation energy is 1.60 eV/f.u.

---

[6]
Below is a relaxed structure of GaSbTe2Se, with properties calculated at the PBEsol level.

It has space group P4/mmm (No. 123), with a = 5.5128 Å, b = 5.5128 Å, c = 5.2765 Å, α = 90.00°, β = 90.00° and γ = 90.00°. Symmetry generates all atoms from Ga at (0.0000, 0.0000, 0.0000), Sb at (0.5000, 0.5000, 0.0000), Te at (0.0000, 0.5000, 0.5000) and Se at (0.5000, 0.5000, 0.5000).

The raw total energy is -3.25 eV per atom. The uncorrected formation energy is 2.55 eV/f.u.

---

[7]
Below is a relaxed structure of Ga2Si2Sb, with properties calculated at the PBEsol level.

It has space group I4/mmm (No. 139), with a = 3.5052 Å, b = 3.5052 Å, c = 15.4710 Å, α = 90.00°, β = 90.00° and γ = 90.00°. Symmetry generates all atoms from Ga at (0.0000, 0.0000, 0.1128), Si at (0.0000, 0.5000, 0.2500) and Sb at (0.0000, 0.0000, 0.5000).

The raw total energy is -4.35 eV per atom. The uncorrected formation energy is 0.96 eV/f.u.

---

[8]
Below is a relaxed structure of Ga2SiSb, with properties calculated at the PBEsol level.

It has space group Fm-3m (No. 225), with a = 6.7625 Å, b = 6.7625 Å, c = 6.7625 Å, α = 90.00°, β = 90.00° and γ = 90.00°. Symmetry generates all atoms from Ga at (0.2500, 0.2500, 0.2500), Si at (0.0000, 0.0000, 0.0000) and Sb at (0.0000, 0.0000, 0.5000).

The raw total energy is -3.98 eV per atom. The uncorrected formation energy is 1.08 eV/f.u.

---

[9]
Below is a relaxed structure of SmGaSb2, with properties calculated at the PBEsol level.

It has space group C222_1 (No. 20), with a = 4.2638 Å, b = 21.9620 Å, c = 4.3148 Å, α = 90.00°, β = 90.00° and γ = 90.00°. Symmetry generates all atoms from Sm at (0.0000, 0.1375, 0.2500), Ga at (0.1561, 0.0000, 0.0000), Sb at (0.0000, 0.2497, 0.7500) and Sb at (0.0000, 0.4072, 0.2500).

The raw total energy is -5.06 eV per atom. The uncorrected formation energy is -2.71 eV/f.u.

---

[10]
Below is a relaxed structure of Ga2Sn2Sb, with properties calculated at the PBEsol level.

It has space group I4/mmm (No. 139), with a = 4.6722 Å, b = 4.6722 Å, c = 11.1255 Å, α = 90.00°, β = 90.00° and γ = 90.00°. Symmetry generates all atoms from Ga at (0.0000, 0.0000, 0.1068), Sn at (0.0000, 0.5000, 0.2500) and Sb at (0.0000, 0.0000, 0.5000).

The raw total energy is -3.78 eV per atom. The uncorrected formation energy is 0.87 eV/f.u.

---

[11]
Below is a relaxed structure of SrGaSn2Sb, with properties calculated at the PBEsol level.

It has space group P4/mmm (No. 123), with a = 5.7211 Å, b = 5.7211 Å, c = 5.2484 Å, α = 90.00°, β = 90.00° and γ = 90.00°. Symmetry generates all atoms from Sr at (0.0000, 0.0000, 0.0000), Ga at (0.5000, 0.5000, 0.0000), Sn at (0.0000, 0.5000, 0.5000) and Sb at (0.5000, 0.5000, 0.5000).

The raw total energy is -3.46 eV per atom. The uncorrected formation energy is 0.98 eV/f.u.

---

[12]
Below is a relaxed structure of GaTcSb2Te, with properties calculated at the PBEsol level.

It has space group P4/mmm (No. 123), with a = 5.1192 Å, b = 5.1192 Å, c = 5.2163 Å, α = 90.00°, β = 90.00° and γ = 90.00°. Symmetry generates all atoms from Ga at (0.0000, 0.0000, 0.0000), Tc at (0.5000, 0.5000, 0.5000), Sb at (0.0000, 0.5000, 0.0000) and Te at (0.0000, 0.0000, 0.5000).

The raw total energy is -4.14 eV per atom. The uncorrected formation energy is 6.54 eV/f.u.